# 1
## Sm2Si5Ni3 (GGA-PBE)

Data for a geometry-optimized Sm2Si5Ni3 structure.

Total magnetic moment: 0.000 Bohr magnetons per cell
E_tot: -247.05 eV/cell
E_form (uncorrected): -787 meV/atom

The structure in CIF format:
```
data_Sm2Si5Ni3
_space_group_name_H-M_alt 'I b a m'
_space_group_IT_number 72
_space_group_name_Hall '-I 2 2c'
_cell_length_a 9.650
_cell_length_b 11.288
_cell_length_c 5.718
_cell_angle_alpha 90.00
_cell_angle_beta 90.00
_cell_angle_gamma 90.00
loop_
_atom_site_label
_atom_site_type_symbol
_atom_site_fract_x
_atom_site_fract_y
_atom_site_fract_z
Sm1 Sm 0.238 0.130 0.000
Si1 Si 0.000 0.000 0.250
Si2 Si 0.000 0.265 0.250
Si3 Si 0.149 0.391 0.000
Ni1 Ni 0.000 0.500 0.250
Ni2 Ni 0.112 0.133 0.500
```

***

# 2
## LiPF2 (GGA-PBE)

Data for a geometry-optimized LiPF2 structure.

Total magnetic moment: 0.000 Bohr magnetons per cell
E_tot: -57.45 eV/cell
E_form (uncorrected): -824 meV/atom

The structure in CIF format:
```
data_LiPF2
_space_group_name_H-M_alt 'F m -3 m'
_space_group_IT_number 225
_space_group_name_Hall '-F 4 2 3'
_cell_length_a 5.829
_cell_length_b 5.829
_cell_length_c 5.829
_cell_angle_alpha 90.00
_cell_angle_beta 90.00
_cell_angle_gamma 90.00
loop_
_atom_site_label
_atom_site_type_symbol
_atom_site_fract_x
_atom_site_fract_y
_atom_site_fract_z
Li1 Li 0.000 0.000 0.000
P1 P 0.000 0.000 0.500
F1 F 0.250 0.250 0.250
```

***

# 3
## CeCdIrO6 (GGA-PBE)

Data for a geometry-optimized CeCdIrO6 structure.

Total magnetic moment: 4.491 Bohr magnetons per cell
E_tot: -118.99 eV/cell
E_form (uncorrected): -1560 meV/atom

The structure in CIF format:
```
data_CeCdIrO6
_space_group_name_H-M_alt 'P 42 n m'
_space_group_IT_number 102
_cell_length_a 4.997
_cell_length_b 4.997
_cell_length_c 10.090
_cell_angle_alpha 90.00
_cell_angle_beta 90.00
_cell_angle_gamma 90.00
loop_
_space_group_symop_operation_xyz
'x,y,z'
'-y+1/2,x+1/2,z+1/2'
'-x,-y,z'
'y+1/2,-x+1/2,z+1/2'
'-x+1/2,y+1/2,z+1/2'
'y,x,z'
'x+1/2,-y+1/2,z+1/2'
'-y,-x,z'
loop_
_atom_site_label
_atom_site_type_symbol
_atom_site_fract_x
_atom_site_fract_y
_atom_site_fract_z
Ce1 Ce 0.000 0.000 0.000
Cd1 Cd 0.000 0.000 0.667
Ir1 Ir 0.000 0.000 0.331
O1 O 0.182 0.182 0.184
O2 O 0.188 0.188 0.475
O3 O 0.228 0.228 0.837
```

***

# 4
## Ag8SnTe6 (GGA-PBE)

Data for a geometry-optimized Ag8SnTe6 structure.

Total magnetic moment: 0.000 Bohr magnetons per cell
E_tot: -93.22 eV/cell
E_form (uncorrected): -63 meV/atom

The structure in CIF format:
```
data_Ag8SnTe6
_space_group_name_H-M_alt 'P m n 21'
_space_group_IT_number 31
_cell_length_a 8.561
_cell_length_b 8.445
_cell_length_c 11.808
_cell_angle_alpha 90.00
_cell_angle_beta 90.00
_cell_angle_gamma 90.00
loop_
_space_group_symop_operation_xyz
'x,y,z'
'-x+1/2,-y,z+1/2'
'-x,y,z'
'x+1/2,-y,z+1/2'
loop_
_atom_site_label
_atom_site_type_symbol
_atom_site_fract_x
_atom_site_fract_y
_atom_site_fract_z
Ag1 Ag 0.000 0.116 0.000
Ag2 Ag 0.000 0.229 0.450
Ag3 Ag 0.177 0.000 0.209
Ag4 Ag 0.227 0.606 0.843
Ag5 Ag 0.231 0.675 0.102
Sn1 Sn 0.000 0.752 0.483
Te1 Te 0.000 0.010 0.624
Te2 Te 0.000 0.286 0.218
Te3 Te 0.000 0.506 0.638
Te4 Te 0.000 0.786 0.964
Te5 Te 0.234 0.261 0.854
```

***

# 5
## Fe5Pd3Pt3 (GGA-PBE)

Data for a geometry-optimized Fe5Pd3Pt3 structure.

Total magnetic moment: 17.019 Bohr magnetons per cell
Energy relative to the elements: -0.0249 eV per atom
E_tot: -76.29 eV/cell

The structure in CIF format:
```
data_Fe5Pd3Pt3
_space_group_name_H-M_alt 'P 1'
_space_group_IT_number 1
_cell_length_a 4.201
_cell_length_b 6.647
_cell_length_c 6.831
_cell_angle_alpha 65.76
_cell_angle_beta 72.20
_cell_angle_gamma 71.69
loop_
_space_group_symop_operation_xyz
'x,y,z'
loop_
_atom_site_label
_atom_site_type_symbol
_atom_site_fract_x
_atom_site_fract_y
_atom_site_fract_z
Fe1 Fe 0.000 0.000 0.000
Fe2 Fe 0.073 0.254 0.600
Fe3 Fe 0.241 0.770 0.748
Fe4 Fe 0.503 0.477 0.518
Fe5 Fe 0.723 0.579 0.976
Pd1 Pd 0.435 0.884 0.246
Pd2 Pd 0.754 0.196 0.297
Pd3 Pd 0.872 0.715 0.542
Pt1 Pt 0.116 0.557 0.212
Pt2 Pt 0.368 0.326 0.936
Pt3 Pt 0.617 0.012 0.753
```

***

# 6
## Ca2PO (GGA-PBE)

Data for a geometry-optimized Ca2PO structure.

Total magnetic moment: 4.000 Bohr magnetons per cell
E_tot: -76.56 eV/cell
E_form (uncorrected): -1192 meV/atom

The structure in CIF format:
```
data_Ca2PO
_space_group_name_H-M_alt 'F m -3 m'
_space_group_IT_number 225
_space_group_name_Hall '-F 4 2 3'
_cell_length_a 6.698
_cell_length_b 6.698
_cell_length_c 6.698
_cell_angle_alpha 90.00
_cell_angle_beta 90.00
_cell_angle_gamma 90.00
loop_
_atom_site_label
_atom_site_type_symbol
_atom_site_fract_x
_atom_site_fract_y
_atom_site_fract_z
Ca1 Ca 0.250 0.250 0.250
P1 P 0.000 0.000 0.000
O1 O 0.000 0.000 0.500
```